1.
# NbRe2W2 PBE relaxed
# Density, g/cm3: 14.70
# Relative energy among the computed polymorphs, meV per atom: 448
# Energy of formation, meV per atom: 742
# Uncorrected energy, eV/atom: -11.43
data_NbRe2W2
_symmetry_space_group_name_H-M 'P 1'
_symmetry_Int_Tables_number 1
_symmetry_space_group_name_Hall 'P 1'
_cell_length_a 4.132
_cell_length_b 4.132
_cell_length_c 6.238
_cell_angle_alpha 70.66
_cell_angle_beta 70.66
_cell_angle_gamma 90.00
loop_
_atom_site_label
_atom_site_fract_x
_atom_site_fract_y
_atom_site_fract_z
_atom_site_occupancy
Nb1 0.000 0.000 0.000 1
W1 0.383 0.383 0.235 1
W2 0.617 0.617 0.765 1
Re1 0.750 0.250 0.500 1
Re2 0.250 0.750 0.500 1

***

2.
# Nb4ReW2 PBE relaxed
# Density, g/cm3: 11.91
# Relative energy among the computed polymorphs, meV per atom: 637
# Energy of formation, meV per atom: 845
# Uncorrected energy, eV/atom: -10.39
data_Nb4ReW2
_symmetry_space_group_name_H-M 'P 1'
_symmetry_Int_Tables_number 1
_symmetry_space_group_name_Hall 'P 1'
_cell_length_a 2.707
_cell_length_b 2.651
_cell_length_c 18.023
_cell_angle_alpha 94.22
_cell_angle_beta 90.00
_cell_angle_gamma 90.00
loop_
_atom_site_label
_atom_site_fract_x
_atom_site_fract_y
_atom_site_fract_z
_atom_site_occupancy
W1 0.500 0.568 0.135 1
W2 0.500 0.432 0.865 1
Re1 0.000 0.500 0.000 1
Nb1 0.500 0.139 0.278 1
Nb2 0.500 0.861 0.722 1
Nb3 0.000 0.213 0.426 1
Nb4 0.000 0.787 0.574 1

***

3.
# Nb5Re6W PBE relaxed
# Density, g/cm3: 14.97
# Energy of formation, meV per atom: -222
# Uncorrected energy, eV/atom: -11.72
data_Nb5Re6W
_symmetry_space_group_name_H-M 'P 1'
_symmetry_Int_Tables_number 1
_symmetry_space_group_name_Hall 'P 1'
_cell_length_a 4.525
_cell_length_b 6.395
_cell_length_c 7.821
_cell_angle_alpha 114.13
_cell_angle_beta 106.82
_cell_angle_gamma 90.00
loop_
_atom_site_label
_atom_site_fract_x
_atom_site_fract_y
_atom_site_fract_z
_atom_site_occupancy
W1 0.000 0.000 0.000 1
Re1 0.500 0.247 0.000 1
Nb1 0.666 0.166 0.331 1
Nb2 0.334 0.834 0.669 1
Re2 0.835 0.083 0.669 1
Re3 0.835 0.586 0.669 1
Nb3 0.667 0.667 0.334 1
Nb4 0.333 0.333 0.666 1
Nb5 0.000 0.500 0.000 1
Re4 0.165 0.917 0.331 1
Re5 0.165 0.414 0.331 1
Re6 0.500 0.753 0.000 1

***

4.
# Nb6ReW PBE relaxed
# Density, g/cm3: 11.06
# Relative energy among the computed polymorphs, meV per atom: 0
# Energy of formation, meV per atom: -107
# Uncorrected energy, eV/atom: -10.83
data_Nb6ReW
_symmetry_space_group_name_H-M 'P 1'
_symmetry_Int_Tables_number 1
_symmetry_space_group_name_Hall 'P 1'
_cell_length_a 4.585
_cell_length_b 5.674
_cell_length_c 5.674
_cell_angle_alpha 109.33
_cell_angle_beta 90.00
_cell_angle_gamma 90.00
loop_
_atom_site_label
_atom_site_fract_x
_atom_site_fract_y
_atom_site_fract_z
_atom_site_occupancy
Nb1 0.500 0.370 0.120 1
Nb2 0.500 0.875 0.125 1
Nb3 0.500 0.880 0.630 1
W1 0.500 0.375 0.625 1
Re1 0.000 0.126 0.874 1
Nb4 0.000 0.128 0.378 1
Nb5 0.000 0.625 0.375 1
Nb6 0.000 0.622 0.872 1

***

5.
# Nb12Re6W PBE relaxed
# Density, g/cm3: 9.98
# Energy of formation, meV per atom: 683
# Uncorrected energy, eV/atom: -10.29
data_Nb12Re6W
_symmetry_space_group_name_H-M 'P 1'
_symmetry_Int_Tables_number 1
_symmetry_space_group_name_Hall 'P 1'
_cell_length_a 7.534
_cell_length_b 7.534
_cell_length_c 7.534
_cell_angle_alpha 100.73
_cell_angle_beta 100.73
_cell_angle_gamma 100.73
loop_
_atom_site_label
_atom_site_fract_x
_atom_site_fract_y
_atom_site_fract_z
_atom_site_occupancy
Re1 0.697 0.861 0.390 1
Nb1 0.930 0.325 0.054 1
Nb2 0.434 0.580 0.173 1
Nb3 0.173 0.434 0.580 1
Re2 0.390 0.697 0.861 1
Nb4 0.054 0.930 0.325 1
Nb5 0.070 0.675 0.946 1
Re3 0.139 0.610 0.303 1
Nb6 0.827 0.566 0.420 1
Re4 0.861 0.390 0.697 1
Nb7 0.675 0.946 0.070 1
Nb8 0.566 0.420 0.827 1
Re5 0.610 0.303 0.139 1
Nb9 0.325 0.054 0.930 1
W1 0.000 0.000 0.000 1
Nb10 0.946 0.070 0.675 1
Nb11 0.420 0.827 0.566 1
Nb12 0.580 0.173 0.434 1
Re6 0.303 0.139 0.610 1

***

6.
# Nb3ReW2 PBE relaxed
# Density, g/cm3: 13.67
# Relative energy among the computed polymorphs, meV per atom: 0
# Energy of formation, meV per atom: -142
# Uncorrected energy, eV/atom: -11.57
data_Nb3ReW2
_symmetry_space_group_name_H-M 'P 1'
_symmetry_Int_Tables_number 1
_symmetry_space_group_name_Hall 'P 1'
_cell_length_a 4.563
_cell_length_b 7.217
_cell_length_c 6.473
_cell_angle_alpha 90.00
_cell_angle_beta 90.00
_cell_angle_gamma 71.57
loop_
_atom_site_label
_atom_site_fract_x
_atom_site_fract_y
_atom_site_fract_z
_atom_site_occupancy
W1 0.667 0.666 0.500 1
Nb1 0.500 0.000 0.249 1
Nb2 0.833 0.335 0.752 1
Nb3 0.500 0.000 0.751 1
W2 0.000 0.000 0.000 1
W3 0.000 0.000 0.500 1
W4 0.333 0.334 0.500 1
Re1 0.334 0.333 0.000 1
Nb4 0.833 0.335 0.248 1
Nb5 0.167 0.665 0.752 1
Nb6 0.167 0.665 0.248 1
Re2 0.666 0.667 0.000 1

***

7.
# NbReW3 PBE relaxed
# Density, g/cm3: 13.11
# Relative energy among the computed polymorphs, meV per atom: 1539
# Energy of formation, meV per atom: 1912
# Uncorrected energy, eV/atom: -10.36
data_NbReW3
_symmetry_space_group_name_H-M 'P 1'
_symmetry_Int_Tables_number 1
_symmetry_space_group_name_Hall 'P 1'
_cell_length_a 4.721
_cell_length_b 4.721
_cell_length_c 4.721
_cell_angle_alpha 90.00
_cell_angle_beta 90.00
_cell_angle_gamma 90.00
loop_
_atom_site_label
_atom_site_fract_x
_atom_site_fract_y
_atom_site_fract_z
_atom_site_occupancy
Re1 0.000 0.000 0.000 1
Nb1 0.500 0.500 0.500 1
W1 0.000 0.500 0.000 1
W2 0.500 0.000 0.000 1
W3 0.000 0.000 0.500 1

***

8.
# NbReW2 PBE relaxed
# Density, g/cm3: 14.97
# Relative energy among the computed polymorphs, meV per atom: 900
# Energy of formation, meV per atom: 815
# Uncorrected energy, eV/atom: -11.29
data_NbReW2
_symmetry_space_group_name_H-M 'P 1'
_symmetry_Int_Tables_number 1
_symmetry_space_group_name_Hall 'P 1'
_cell_length_a 5.970
_cell_length_b 5.970
_cell_length_c 5.970
_cell_angle_alpha 53.76
_cell_angle_beta 150.83
_cell_angle_gamma 135.89
loop_
_atom_site_label
_atom_site_fract_x
_atom_site_fract_y
_atom_site_fract_z
_atom_site_occupancy
W1 0.000 0.268 0.268 1
W2 0.000 0.732 0.732 1
Re1 0.000 0.500 0.500 1
Nb1 0.000 0.000 0.000 1

***

9.
# NbReW2 PBE relaxed
# Density, g/cm3: 15.00
# Relative energy among the computed polymorphs, meV per atom: 945
# Energy of formation, meV per atom: 859
# Uncorrected energy, eV/atom: -11.25
data_NbReW2
_symmetry_space_group_name_H-M 'P 1'
_symmetry_Int_Tables_number 1
_symmetry_space_group_name_Hall 'P 1'
_cell_length_a 7.304
_cell_length_b 7.304
_cell_length_c 5.821
_cell_angle_alpha 51.14
_cell_angle_beta 51.14
_cell_angle_gamma 90.00
loop_
_atom_site_label
_atom_site_fract_x
_atom_site_fract_y
_atom_site_fract_z
_atom_site_occupancy
Nb1 0.250 0.750 0.500 1
Re1 0.000 0.000 0.000 1
W1 0.375 0.354 0.750 1
Nb2 0.500 0.500 0.000 1
W2 0.875 0.896 0.750 1
W3 0.104 0.625 0.250 1
W4 0.646 0.125 0.250 1
Re2 0.750 0.250 0.500 1

***

10.
# Nb4Re2W3 PBE relaxed
# Density, g/cm3: 14.32
# Energy of formation, meV per atom: -168
# Uncorrected energy, eV/atom: -11.73
data_Nb4Re2W3
_symmetry_space_group_name_H-M 'P 1'
_symmetry_Int_Tables_number 1
_symmetry_space_group_name_Hall 'P 1'
_cell_length_a 4.539
_cell_length_b 4.538
_cell_length_c 8.423
_cell_angle_alpha 89.99
_cell_angle_beta 90.00
_cell_angle_gamma 59.99
loop_
_atom_site_label
_atom_site_fract_x
_atom_site_fract_y
_atom_site_fract_z
_atom_site_occupancy
Re1 0.332 0.336 0.774 1
W1 0.334 0.333 0.451 1
W2 0.666 0.667 0.549 1
Nb1 0.001 0.997 0.330 1
Nb2 0.666 0.668 0.890 1
Nb3 0.334 0.332 0.110 1
Re2 0.668 0.664 0.226 1
W3 0.000 0.000 0.000 1
Nb4 0.999 0.003 0.670 1

***

11.
# Nb5ReW PBE relaxed
# Density, g/cm3: 10.98
# Energy of formation, meV per atom: 350
# Uncorrected energy, eV/atom: -10.47
data_Nb5ReW
_symmetry_space_group_name_H-M 'P 1'
_symmetry_Int_Tables_number 1
_symmetry_space_group_name_Hall 'P 1'
_cell_length_a 5.415
_cell_length_b 5.415
_cell_length_c 9.589
_cell_angle_alpha 106.53
_cell_angle_beta 106.53
_cell_angle_gamma 96.50
loop_
_atom_site_label
_atom_site_fract_x
_atom_site_fract_y
_atom_site_fract_z
_atom_site_occupancy
Nb1 0.619 0.959 0.645 1
W1 0.515 0.485 0.750 1
Nb2 0.041 0.381 0.855 1
Nb3 0.381 0.041 0.355 1
Nb4 0.445 0.789 0.047 1
Nb5 0.211 0.555 0.453 1
Nb6 0.959 0.619 0.145 1
Re1 0.000 0.000 0.500 1
Nb7 0.147 0.853 0.750 1
Nb8 0.789 0.445 0.547 1
Nb9 0.853 0.147 0.250 1
W2 0.485 0.515 0.250 1
Nb10 0.555 0.211 0.953 1
Re2 0.000 0.000 0.000 1

***

12.
# Nb12Re2W5 PBE relaxed
# Density, g/cm3: 10.77
# Energy of formation, meV per atom: 623
# Uncorrected energy, eV/atom: -10.46
data_Nb12Re2W5
_symmetry_space_group_name_H-M 'P 1'
_symmetry_Int_Tables_number 1
_symmetry_space_group_name_Hall 'P 1'
_cell_length_a 5.920
_cell_length_b 7.772
_cell_length_c 8.783
_cell_angle_alpha 96.25
_cell_angle_beta 90.00
_cell_angle_gamma 112.39
loop_
_atom_site_label
_atom_site_fract_x
_atom_site_fract_y
_atom_site_fract_z
_atom_site_occupancy
Nb1 0.525 0.049 0.298 1
Nb2 0.942 0.357 0.118 1
Nb3 0.585 0.643 0.882 1
Nb4 0.916 0.832 0.187 1
W1 0.349 0.698 0.139 1
Re1 0.269 0.000 0.000 1
Nb5 0.415 0.357 0.118 1
Nb6 0.112 0.707 0.420 1
Nb7 0.475 0.951 0.702 1
W2 0.706 0.412 0.356 1
Nb8 0.058 0.643 0.882 1
Re2 0.731 0.000 0.000 1
W3 0.651 0.302 0.861 1
W4 0.294 0.588 0.644 1
Nb9 0.405 0.293 0.580 1
Nb10 0.084 0.168 0.813 1
Nb11 0.595 0.707 0.420 1
Nb12 0.888 0.293 0.580 1
W5 0.000 0.000 0.500 1